Sc2In: optimized geometry, GGA-PBE.

Results
- formation enthalpy at 0 K (eV per atom) = 0.052
- total moment (μB/f.u.) = 0.0

```
Sc2In
1.0
5.809 0.000 0.000
-2.904 5.030 0.000
0.000 0.000 9.782
Sc In
8 4
Direct
0.000 0.000 0.000
0.000 0.000 0.500
0.169 0.339 0.250
0.169 0.831 0.250
0.339 0.169 0.750
0.661 0.831 0.250
0.831 0.169 0.750
0.831 0.661 0.750
0.333 0.667 0.567
0.333 0.667 0.933
0.667 0.333 0.067
0.667 0.333 0.433
```

BaOsSe2: optimized geometry, GGA-PBE.

Results
- energy above the most stable polymorph in this dataset (meV/atom) = 555
- total moment (μB/f.u.) = 0.5

```
BaOsSe2
1.0
1.981 1.144 8.589
-1.981 1.144 8.589
0.000 -2.288 8.589
Ba Os Se
1 1 2
Direct
0.000 0.000 0.000
0.500 0.500 0.500
0.123 0.123 0.123
0.877 0.877 0.877
```

Cs2YAu2: optimized geometry, GGA-PBE.

Results
- formation enthalpy at 0 K (eV per atom) = -0.105
- total moment (μB/f.u.) = 0.0

```
Cs2YAu2
1.0
7.796 0.000 0.000
0.000 7.796 0.000
0.000 0.000 6.116
Cs Y Au
4 2 4
Direct
0.172 0.328 0.000
0.328 0.828 0.000
0.672 0.172 0.000
0.828 0.672 0.000
0.000 0.000 0.500
0.500 0.500 0.500
0.133 0.633 0.500
0.367 0.133 0.500
0.633 0.867 0.500
0.867 0.367 0.500
```

CaCd9In2: optimized geometry, GGA-PBE.

Results
- formation enthalpy at 0 K (eV per atom) = -0.061
- energy above the most stable polymorph in this dataset (meV/atom) = 0
- total moment (μB/f.u.) = 0.0

```
CaCd9In2
1.0
2.987 1.725 9.620
-2.987 1.725 9.620
0.000 -3.449 9.620
Ca Cd In
1 9 2
Direct
0.000 0.000 0.000
0.080 0.588 0.588
0.334 0.334 0.334
0.412 0.412 0.920
0.412 0.920 0.412
0.500 0.500 0.500
0.588 0.080 0.588
0.588 0.588 0.080
0.666 0.666 0.666
0.920 0.412 0.412
0.141 0.141 0.141
0.859 0.859 0.859
```

La2USe5: optimized geometry, GGA-PBE.

Results
- energy above the most stable polymorph in this dataset (meV/atom) = 108
- total moment (μB/f.u.) = 2.0

```
La2USe5
1.0
2.874 -7.246 0.000
2.874 7.246 0.000
0.000 0.000 14.064
La U Se
4 2 10
Direct
0.145 0.855 0.563
0.145 0.855 0.937
0.855 0.145 0.063
0.855 0.145 0.437
0.192 0.808 0.250
0.808 0.192 0.750
0.049 0.951 0.122
0.049 0.951 0.378
0.263 0.737 0.750
0.306 0.694 0.081
0.306 0.694 0.419
0.694 0.306 0.581
0.694 0.306 0.919
0.737 0.263 0.250
0.951 0.049 0.622
0.951 0.049 0.878
```

CuSb2TeF: optimized geometry, GGA-PBE.

Results
- energy above the most stable polymorph in this dataset (meV/atom) = 71
- total moment (μB/f.u.) = 0.0

```
CuSb2TeF
1.0
4.672 0.000 0.000
0.000 4.672 0.000
0.000 0.000 5.482
Cu Sb Te F
1 2 1 1
Direct
0.000 0.000 0.000
0.000 0.500 0.500
0.500 0.000 0.500
0.500 0.500 0.000
0.500 0.500 0.500
```